Entry 1:
First-principles (PBE) data for crystalline KBa8Sr2 at its relaxed geometry, as listed in Alexandria via LeMat-Bulk.

Cell lengths 6.1456, 6.1456, 19.8129 Å; angles 90.00, 90.00, 90.00 degrees
With the nearest neighbours (Å) after each atom.
Space group P4/mmm (No. 123)
Inequivalent atoms, fractional coordinates:
K: 0.0000 0.0000 0.0000  8 Ba 4.56
Ba: 0.0000 0.5000 0.1700  6 Ba 4.35-4.51, 2 Sr 4.47, 2 K 4.56
Ba: 0.0000 0.5000 0.5000  8 Ba 4.35-4.46, 4 Sr 4.51
Ba: 0.5000 0.5000 0.3365  4 Sr 4.35, 8 Ba 4.46-4.51
Sr: 0.0000 0.0000 0.3337  12 Ba 4.35-4.51

***

Entry 2:
First-principles (PBE) data for crystalline AsIr2Ru at its relaxed geometry, as listed in Alexandria via LeMat-Bulk.

Cell lengths 2.8504, 2.8504, 24.9969 Å; angles 90.00, 90.00, 120.00 degrees
With the nearest neighbours (Å) after each atom.
Space group R3m (No. 160, hexagonal axes)
Inequivalent atoms, fractional coordinates:
As: 0.0000 0.0000 0.0000  3 Ru 2.56, 3 Ir 2.60, 6 As 2.85
Ir: 0.0000 0.0000 0.5029  3 Ru 2.70, 9 Ir 2.77-2.85
Ir: 0.0000 0.0000 0.7471  3 As 2.60, 9 Ir 2.77-2.85
Ru: 0.0000 0.0000 0.2550  3 As 2.56, 3 Ir 2.70, 6 Ru 2.85

***

Entry 3:
First-principles (PBE) data for crystalline YAlZnAg6 at its relaxed geometry, as listed in Alexandria via LeMat-Bulk.

Cell lengths 7.3838, 9.0301, 10.9944 Å; angles 90.00, 90.00, 90.00 degrees
With the nearest neighbours (Å) after each atom.
Space group Imma (No. 74)
Inequivalent atoms, fractional coordinates:
Y: 0.0000 0.2500 0.2042  10 Ag 3.18-3.35, 2 Zn 3.18
Al: 0.2500 0.2500 0.7500  6 Ag 2.53-2.74
Zn: 0.0000 0.0000 0.0000  6 Ag 2.47-2.68
Ag: 0.0000 0.2500 0.5086  8 Ag 3.00-3.05, 2 Al 3.23, 1 Y 3.35
Ag: 0.0000 0.2500 0.9078  2 Zn 2.47, 2 Al 2.53
Ag: 0.1922 0.0102 0.3716  1 Zn 2.68, 1 Al 2.74, 4 Ag 2.81-3.00

***

Which calculated total energy belongs to each record? In order, -1.695 -7.767 -3.133 eV per atom.
Which total magnetic moment belongs to each record? In order, 0.00 0.00 0.00 μB per cell.